This record from the Alexandria database describes a relaxed structure of NbAg2GeBr. The functional is PBE-GGA.

Cell and atoms, written as extended XYZ:
```
5
Lattice="5.322 0.000 0.000 0.000 5.322 0.000 0.000 0.000 4.839" Properties=species:S:1:pos:R:3 pbc="T T T"
Nb 0.000 0.000 0.000
Ag 0.000 2.661 0.000
Ag 2.661 0.000 0.000
Ge 2.661 2.661 2.419
Br 0.000 0.000 2.419
```

Output
density of states at the Fermi level = 5.21 states/eV per cell
SG = P4/mmm, No. 123
density = 5.59 g/cm3
total moment = 0.00 μB/cell
raw formation energy = 1.02 eV/atom